w | DFT (GGA-PBE) results for crystalline KMgOs3 at its relaxed geometry.

Summary:
- space group = Pm-3m, No. 221
- mass density (g/cm3) = 10.04
- DOS at the Fermi energy (states/eV/cell) = 6.58

Cell: 4.716 4.716 4.716 Å, 90.00 90.00 90.00°
Fractional coordinates of all 5 atoms:
K 0.000 0.000 0.000
Mg 0.500 0.500 0.500
Os 0.000 0.500 0.500
Os 0.500 0.000 0.500
Os 0.500 0.500 0.000

=====

x | DFT (GGA-PBE) results for crystalline KMgOs3 at its relaxed geometry.

Summary:
- space group = Pm-3m, No. 221
- mass density (g/cm3) = 10.63
- DOS at the Fermi energy (states/eV/cell) = 7.12

Cell: 4.627 4.627 4.627 Å, 90.00 90.00 90.00°
Fractional coordinates of all 5 atoms:
K 0.000 0.000 0.000
Mg 0.500 0.500 0.500
Os 0.000 0.000 0.500
Os 0.000 0.500 0.000
Os 0.500 0.000 0.000

=====

w is preferred energetically. Next in line: 92.9 kJ/mol of atoms higher.

=====

w | DFT (GGA-PBE) results for crystalline K2MgP at its relaxed geometry.

Summary:
- space group = R-3m, No. 166
- mass density (g/cm3) = 1.68
- DOS at the Fermi energy (states/eV/cell) = 3.20

Cell: 11.868 11.868 11.868 Å, 17.51 17.51 17.51°
Fractional coordinates of all 4 atoms:
K 0.234 0.234 0.234
K 0.766 0.766 0.766
Mg 0.000 0.000 0.000
P 0.500 0.500 0.500

=====

x | DFT (GGA-PBE) results for crystalline K2MgP at its relaxed geometry.

Summary:
- space group = Fm-3m, No. 225
- mass density (g/cm3) = 1.80
- DOS at the Fermi energy (states/eV/cell) = 2.19

Cell: 5.583 5.583 5.583 Å, 60.00 60.00 60.00°
Fractional coordinates of all 4 atoms:
K 0.250 0.250 0.250
K 0.750 0.750 0.750
Mg 0.000 0.000 0.000
P 0.500 0.500 0.500

=====

x is preferred energetically. Next in line: 14.6 kJ/mol of atoms higher.

=====

w | DFT (GGA-PBE) results for crystalline K2MgP at its relaxed geometry.

Summary:
- space group = P4mm, No. 99
- mass density (g/cm3) = 1.55
- DOS at the Fermi energy (states/eV/cell) = 1.81

Cell: 3.776 3.776 10.006 Å, 90.00 90.00 90.00°
Fractional coordinates of all 4 atoms:
K 0.000 0.000 0.000
K 0.500 0.500 0.399
Mg 0.000 0.000 0.689
P 0.500 0.500 0.727

=====

x | DFT (GGA-PBE) results for crystalline K2MgP at its relaxed geometry.

Summary:
- space group = F-43m, No. 216
- mass density (g/cm3) = 1.90
- DOS at the Fermi energy (states/eV/cell) = 2.58

Cell: 5.487 5.487 5.487 Å, 60.00 60.00 60.00°
Fractional coordinates of all 4 atoms:
K 0.000 0.000 0.000
K 0.250 0.250 0.250
Mg 0.750 0.750 0.750
P 0.500 0.500 0.500

=====

w is preferred energetically. Next in line: 18.4 kJ/mol of atoms higher.

=====

w | DFT (GGA-PBE) results for crystalline K2MgP2Se6 at its relaxed geometry.

Summary:
- space group = P2_1/c, No. 14
- mass density (g/cm3) = 3.21
- DOS at the Fermi energy (states/eV/cell) = 0.00

Cell: 6.578 13.009 9.088 Å, 90.00 121.98 90.00°
Fractional coordinates of all 22 atoms:
K 0.149 0.197 0.440
K 0.149 0.303 0.940
K 0.851 0.697 0.060
K 0.851 0.803 0.560
Mg 0.500 0.000 0.000
Mg 0.500 0.500 0.500
P 0.148 0.524 0.636
P 0.148 0.976 0.136
P 0.852 0.024 0.864
P 0.852 0.476 0.364
Se 0.043 0.047 0.728
Se 0.043 0.453 0.228
Se 0.315 0.662 0.601
Se 0.315 0.838 0.101
Se 0.413 0.102 0.232
Se 0.413 0.398 0.732
Se 0.587 0.602 0.268
Se 0.587 0.898 0.768
Se 0.685 0.162 0.899
Se 0.685 0.338 0.399
Se 0.957 0.547 0.772
Se 0.957 0.953 0.272

=====

x | DFT (GGA-PBE) results for crystalline K2MgP2Se6 at its relaxed geometry.

Summary:
- space group = R-3m, No. 166
- mass density (g/cm3) = 3.33
- DOS at the Fermi energy (states/eV/cell) = 1.88

Cell: 8.306 8.306 8.306 Å, 50.91 50.91 50.91°
Fractional coordinates of all 11 atoms:
K 0.230 0.230 0.230
K 0.770 0.770 0.770
Mg 0.000 0.000 0.000
P 0.444 0.444 0.444
P 0.556 0.556 0.556
Se 0.223 0.750 0.750
Se 0.250 0.250 0.777
Se 0.250 0.777 0.250
Se 0.750 0.223 0.750
Se 0.750 0.750 0.223
Se 0.777 0.250 0.250

=====

w is preferred energetically. Next in line: 15.3 kJ/mol of atoms higher.

=====

w | DFT (GGA-PBE) results for crystalline K3MgPb at its relaxed geometry.

Summary:
- space group = Pm-3m, No. 221
- mass density (g/cm3) = 1.77
- DOS at the Fermi energy (states/eV/cell) = 1.93

Cell: 6.896 6.896 6.896 Å, 90.00 90.00 90.00°
Fractional coordinates of all 5 atoms:
K 0.000 0.000 0.500
K 0.000 0.500 0.000
K 0.500 0.000 0.000
Mg 0.500 0.500 0.500
Pb 0.000 0.000 0.000

=====

x | DFT (GGA-PBE) results for crystalline K3MgPb at its relaxed geometry.

Summary:
- space group = Ima2, No. 46
- mass density (g/cm3) = 2.46
- DOS at the Fermi energy (states/eV/cell) = 6.41

Cell: 9.040 9.040 9.040 Å, 82.11 118.95 130.78°
Fractional coordinates of all 10 atoms:
K 0.203 0.007 0.210
K 0.203 0.493 0.696
K 0.405 0.752 0.153
K 0.599 0.252 0.847
K 0.797 0.507 0.304
K 0.797 0.993 0.790
Mg 0.001 0.001 0.500
Mg 0.501 0.501 0.500
Pb 0.003 0.251 0.252
Pb 0.999 0.751 0.748

=====

x is preferred energetically. Next in line: 26.0 kJ/mol of atoms higher.

=====

w | DFT (GGA-PBE) results for crystalline KMgPb at its relaxed geometry.

Summary:
- space group = P4/nmm, No. 129
- mass density (g/cm3) = 4.29
- DOS at the Fermi energy (states/eV/cell) = 3.83

Cell: 4.908 4.908 8.693 Å, 90.00 90.00 90.00°
Fractional coordinates of all 6 atoms:
K 0.250 0.250 0.151
K 0.750 0.750 0.849
Mg 0.250 0.750 0.500
Mg 0.750 0.250 0.500
Pb 0.250 0.250 0.707
Pb 0.750 0.750 0.293

=====

x | DFT (GGA-PBE) results for crystalline KMgPb at its relaxed geometry.

Summary:
- space group = P-6m2, No. 187
- mass density (g/cm3) = 4.49
- DOS at the Fermi energy (states/eV/cell) = 1.10

Cell: 5.315 5.315 4.086 Å, 90.00 90.00 120.00°
Fractional coordinates of all 3 atoms:
K 0.000 0.000 0.000
Mg 0.667 0.333 0.500
Pb 0.333 0.667 0.500

=====

w is preferred energetically. Next in line: 8.6 kJ/mol of atoms higher.

=====

w | DFT (GGA-PBE) results for crystalline KMgPb at its relaxed geometry.

Summary:
- space group = F-43m, No. 216
- mass density (g/cm3) = 3.73
- DOS at the Fermi energy (states/eV/cell) = 4.34

Cell: 5.544 5.544 5.544 Å, 60.00 60.00 60.00°
Fractional coordinates of all 3 atoms:
K 0.000 0.000 0.000
Mg 0.750 0.750 0.750
Pb 0.250 0.250 0.250

=====

x | DFT (GGA-PBE) results for crystalline KMgPb at its relaxed geometry.

Summary:
- space group = Imm2, No. 44
- mass density (g/cm3) = 4.34
- DOS at the Fermi energy (states/eV/cell) = 1.79

Cell: 6.972 6.972 6.972 Å, 150.47 141.53 49.23°
Fractional coordinates of all 3 atoms:
K 0.000 0.000 0.000
Mg 0.711 0.711 0.000
Pb 0.298 0.298 0.000

=====

x is preferred energetically. Next in line: 53.1 kJ/mol of atoms higher.

=====

w | DFT (GGA-PBE) results for crystalline KMgPb at its relaxed geometry.

Summary:
- space group = F-43m, No. 216
- mass density (g/cm3) = 4.15
- DOS at the Fermi energy (states/eV/cell) = 3.85

Cell: 5.349 5.349 5.349 Å, 60.00 60.00 60.00°
Fractional coordinates of all 3 atoms:
K 0.000 0.000 0.000
Mg 0.250 0.250 0.250
Pb 0.500 0.500 0.500

=====

x | DFT (GGA-PBE) results for crystalline KMgPb at its relaxed geometry.

Summary:
- space group = P3m1, No. 156
- mass density (g/cm3) = 4.48
- DOS at the Fermi energy (states/eV/cell) = 2.43

Cell: 3.647 3.647 8.704 Å, 90.00 90.00 120.00°
Fractional coordinates of all 3 atoms:
K 0.000 0.000 0.000
Mg 0.667 0.333 0.374
Pb 0.333 0.667 0.648

=====

x is preferred energetically. Next in line: 2.5 kJ/mol of atoms higher.

=====

w | DFT (GGA-PBE) results for crystalline KMg2Pb3 at its relaxed geometry.

Summary:
- space group = P6/mmm, No. 191
- mass density (g/cm3) = 6.11
- DOS at the Fermi energy (states/eV/cell) = 1.66

Cell: 6.912 6.912 4.663 Å, 90.00 90.00 120.00°
Fractional coordinates of all 6 atoms:
K 0.000 0.000 0.000
Mg 0.333 0.667 0.000
Mg 0.667 0.333 0.000
Pb 0.000 0.500 0.500
Pb 0.500 0.000 0.500
Pb 0.500 0.500 0.500

=====

x | DFT (GGA-PBE) results for crystalline KMg2Pb3 at its relaxed geometry.

Summary:
- space group = Cmcm, No. 63
- mass density (g/cm3) = 5.80
- DOS at the Fermi energy (states/eV/cell) = 5.30

Cell: 8.072 8.072 6.417 Å, 90.00 90.00 76.11°
Fractional coordinates of all 12 atoms:
K 0.172 0.828 0.750
K 0.828 0.172 0.250
Mg 0.282 0.282 0.000
Mg 0.282 0.282 0.500
Mg 0.718 0.718 0.000
Mg 0.718 0.718 0.500
Pb 0.039 0.569 0.250
Pb 0.431 0.961 0.250
Pb 0.445 0.555 0.250
Pb 0.555 0.445 0.750
Pb 0.569 0.039 0.750
Pb 0.961 0.431 0.750

=====

w is preferred energetically. Next in line: 3.2 kJ/mol of atoms higher.

=====

w | DFT (GGA-PBE) results for crystalline K2MgPb2 at its relaxed geometry.

Summary:
- space group = P4/mbm, No. 127
- mass density (g/cm3) = 4.58
- DOS at the Fermi energy (states/eV/cell) = 9.38

Cell: 7.973 7.973 5.894 Å, 90.00 90.00 90.00°
Fractional coordinates of all 10 atoms:
K 0.171 0.329 0.000
K 0.329 0.829 0.000
K 0.671 0.171 0.000
K 0.829 0.671 0.000
Mg 0.000 0.000 0.500
Mg 0.500 0.500 0.500
Pb 0.138 0.638 0.500
Pb 0.362 0.138 0.500
Pb 0.638 0.862 0.500
Pb 0.862 0.362 0.500

=====

x | DFT (GGA-PBE) results for crystalline K2MgPb2 at its relaxed geometry.

Summary:
- space group = C2/m, No. 12
- mass density (g/cm3) = 4.56
- DOS at the Fermi energy (states/eV/cell) = 6.67

Cell: 6.928 6.928 12.487 Å, 115.98 115.98 45.57°
Fractional coordinates of all 10 atoms:
K 0.090 0.090 0.392
K 0.327 0.327 0.815
K 0.673 0.673 0.185
K 0.910 0.910 0.608
Mg 0.348 0.348 0.129
Mg 0.652 0.652 0.871
Pb 0.083 0.083 0.940
Pb 0.385 0.385 0.389
Pb 0.615 0.615 0.611
Pb 0.917 0.917 0.060

=====

x is preferred energetically. Next in line: 5.5 kJ/mol of atoms higher.

=====

w | DFT (GGA-PBE) results for crystalline KMgTl2Pb at its relaxed geometry.

Summary:
- space group = P4/mmm, No. 123
- mass density (g/cm3) = 6.21
- DOS at the Fermi energy (states/eV/cell) = 2.86

Cell: 5.680 5.680 5.634 Å, 90.00 90.00 90.00°
Fractional coordinates of all 5 atoms:
K 0.000 0.000 0.000
Mg 0.500 0.500 0.500
Tl 0.000 0.500 0.500
Tl 0.500 0.000 0.500
Pb 0.500 0.500 0.000

=====

x | DFT (GGA-PBE) results for crystalline KMgTl2Pb at its relaxed geometry.

Summary:
- space group = Pmma, No. 51
- mass density (g/cm3) = 6.82
- DOS at the Fermi energy (states/eV/cell) = 3.38

Cell: 6.375 7.135 7.278 Å, 90.00 90.00 90.00°
Fractional coordinates of all 10 atoms:
K 0.250 0.000 0.211
K 0.750 0.000 0.789
Mg 0.000 0.500 0.000
Mg 0.500 0.500 0.000
Tl 0.250 0.247 0.712
Tl 0.250 0.753 0.712
Tl 0.750 0.247 0.288
Tl 0.750 0.753 0.288
Pb 0.250 0.500 0.355
Pb 0.750 0.500 0.645

=====

x is preferred energetically. Next in line: 15.3 kJ/mol of atoms higher.

=====

w | DFT (GGA-PBE) results for crystalline KMgPd3 at its relaxed geometry.

Summary:
- space group = Pm-3m, No. 221
- mass density (g/cm3) = 5.11
- DOS at the Fermi energy (states/eV/cell) = 2.39

Cell: 4.991 4.991 4.991 Å, 90.00 90.00 90.00°
Fractional coordinates of all 5 atoms:
K 0.000 0.000 0.000
Mg 0.500 0.500 0.500
Pd 0.000 0.000 0.500
Pd 0.000 0.500 0.000
Pd 0.500 0.000 0.000

=====

x | DFT (GGA-PBE) results for crystalline KMgPd3 at its relaxed geometry.

Summary:
- space group = Pm-3m, No. 221
- mass density (g/cm3) = 5.51
- DOS at the Fermi energy (states/eV/cell) = 1.81

Cell: 4.867 4.867 4.867 Å, 90.00 90.00 90.00°
Fractional coordinates of all 5 atoms:
K 0.000 0.000 0.000
Mg 0.500 0.500 0.500
Pd 0.000 0.500 0.500
Pd 0.500 0.000 0.500
Pd 0.500 0.500 0.000

=====

x is preferred energetically. Next in line: 84.4 kJ/mol of atoms higher.